No. 1
Below is a relaxed InHgI2 crystal, with properties calculated at the GGA-PBE level.

Cell lengths 4.3292, 4.3292, 31.1757 Å; angles 90.00, 90.00, 120.00 degrees
Closest atoms and distances in Å follow each position.
Space group R3m (No. 160, hexagonal axes)
One atom of each set of equivalent atoms:
In 0.0000 0.0000 0.0000 x3  6 I 3.15
Hg 0.0000 0.0000 0.1649 x3  6 I 4.07-4.16, 6 Hg 4.33
I 0.0000 0.0000 0.3950 x3  3 In 3.15
I 0.0000 0.0000 0.6050 x3  3 In 3.15

Summary:
**Raw formation energy**: -0.2613 eV per atom
**Total DFT energy (no corrections)**: -0.13203 Ry/atom
**Total magnetization**: 0.00 μB per formula unit
**Volume**: 506.0 Å³/cell
**Energy above the lowest structure with this stoichiometry**: 0.37 eV per formula unit

***

No. 2
Below is a relaxed In5Hg3I4 crystal, with properties calculated at the GGA-PBE level.

Cell lengths 5.6201, 8.1463, 10.6259 Å; angles 77.34, 81.50, 75.61 degrees
Closest atoms and distances in Å follow each position.
Space group P-1 (No. 2)
One atom of each set of equivalent atoms:
In 0.0000 0.0000 0.0000 x1  4 Hg 2.81-3.03
In 0.2656 0.8996 0.3134 x2  2 I 3.16-3.32, 1 In 3.27, 2 Hg 3.30-3.40
In 0.4283 0.5026 0.6570 x2  1 Hg 2.93, 1 In 3.27
Hg 0.2130 0.7967 0.7863 x2  2 In 2.93-3.03
Hg 0.5000 0.0000 0.0000 x1  2 In 2.81
I 0.0985 0.6018 0.1581 x2  4 In 3.26-3.58
I 0.1696 0.2081 0.4863 x2  2 In 3.16-3.32

Summary:
**Raw formation energy**: -0.2205 eV per atom
**Total DFT energy (no corrections)**: -0.14359 Ry/atom
**Total magnetization**: 0.00 μB per formula unit
**Volume**: 457.5 Å³/cell

***

No. 3
Below is a relaxed InHg3I2 crystal, with properties calculated at the GGA-PBE level.

Cell lengths 10.5309, 10.4630, 7.8234 Å; angles 90.00, 92.93, 90.00 degrees
Closest atoms and distances in Å follow each position.
Space group C2/c (No. 15)
One atom of each set of equivalent atoms:
In 0.0000 0.1082 0.2500 x4  4 I 3.02-3.26, 2 Hg 3.04
Hg 0.0000 0.4392 0.7500 x4  4 Hg 3.08-3.15
Hg 0.1331 0.3276 0.4411 x8  1 In 3.04, 3 Hg 3.05-3.15
I 0.1714 0.0934 0.9149 x8  2 In 3.02-3.26

Summary:
**Raw formation energy**: -0.2098 eV per atom
**Total DFT energy (no corrections)**: -0.09803 Ry/atom
**Total magnetization**: 0.00 μB per formula unit
**Volume**: 860.9 Å³/cell

***

No. 4
Below is a relaxed In2Hg3I crystal, with properties calculated at the GGA-PBE level.

Cell lengths 18.1942, 4.6254, 10.0434 Å; angles 90.00, 114.89, 90.00 degrees
Closest atoms and distances in Å follow each position.
Space group C2/m (No. 12)
One atom of each set of equivalent atoms:
In 0.0026 0.0000 0.3474 x4  4 Hg 3.09-3.34, 1 In 3.11, 2 I 3.43
In 0.2192 0.5000 0.2577 x4  3 Hg 3.07-3.11, 2 I 3.35
Hg 0.0495 0.5000 0.8877 x4  2 In 3.15, 7 Hg 3.26-3.43
Hg 0.0935 0.0000 0.1473 x4  3 In 3.09-3.11, 6 Hg 3.25-3.44
Hg 0.1831 0.0000 0.9275 x4  2 In 3.07-3.34, 5 Hg 3.23-3.26
I 0.1500 0.5000 0.5319 x4  5 In 3.35-3.48

Summary:
**Raw formation energy**: -0.0936 eV per atom
**Total DFT energy (no corrections)**: -0.10405 Ry/atom
**Total magnetization**: 0.00 μB per formula unit
**Volume**: 766.7 Å³/cell

***

No. 5
Below is a relaxed InHg3I crystal, with properties calculated at the GGA-PBE level.

Cell lengths 16.3059, 4.8446, 9.2372 Å; angles 90.00, 110.26, 90.00 degrees
Closest atoms and distances in Å follow each position.
Space group C2/m (No. 12)
One atom of each set of equivalent atoms:
In 0.0762 0.0000 0.1611 x4  3 Hg 3.06-3.23, 1 In 3.15, 2 I 3.17
Hg 0.0348 0.5000 0.3576 x4  4 Hg 3.21-3.39, 2 In 3.23
Hg 0.1160 0.0000 0.6730 x4  4 Hg 3.25-3.39
Hg 0.2347 0.5000 0.6164 x4  1 In 3.06, 5 Hg 3.25-3.39
I 0.1473 0.5000 0.0173 x4  2 In 3.17

Summary:
**Raw formation energy**: -0.1442 eV per atom
**Total DFT energy (no corrections)**: -0.08695 Ry/atom
**Total magnetization**: 0.00 μB per formula unit
**Volume**: 684.6 Å³/cell
**Energy above the lowest structure with this stoichiometry**: 0.05 eV per formula unit

***

No. 6
Below is a relaxed InHg2I crystal, with properties calculated at the GGA-PBE level.

Cell lengths 12.5568, 4.9334, 9.2699 Å; angles 90.00, 103.73, 90.00 degrees
Closest atoms and distances in Å follow each position.
Space group C2/m (No. 12)
One atom of each set of equivalent atoms:
In 0.0842 0.0000 0.3810 x4  3 I 3.23-3.35, 2 Hg 3.26, 1 In 3.40
Hg 0.0988 0.5000 0.1572 x4  2 In 3.26, 4 Hg 3.35-3.48
Hg 0.1496 0.0000 0.9392 x4  5 Hg 3.35-3.52, 1 In 3.65
I 0.1606 0.5000 0.6286 x4  3 In 3.23-3.35

Summary:
**Raw formation energy**: -0.2110 eV per atom
**Total DFT energy (no corrections)**: -0.10540 Ry/atom
**Total magnetization**: 0.00 μB per formula unit
**Volume**: 557.8 Å³/cell
**Energy above the lowest structure with this stoichiometry**: 0.06 eV per formula unit

***

No. 7
Below is a relaxed InHgI2 crystal, with properties calculated at the GGA-PBE level.

Cell lengths 4.3248, 4.3248, 31.7139 Å; angles 90.00, 90.00, 120.00 degrees
Closest atoms and distances in Å follow each position.
Space group R-3m (No. 166, hexagonal axes)
One atom of each set of equivalent atoms:
In 0.0000 0.0000 0.0000 x3  6 I 3.15
Hg 0.0000 0.0000 0.5000 x3  6 I 4.19, 6 Hg 4.32
I 0.0000 0.0000 0.2726 x6  3 In 3.15

Summary:
**Raw formation energy**: -0.2601 eV per atom
**Total DFT energy (no corrections)**: -0.13195 Ry/atom
**Total magnetization**: 0.00 μB per formula unit
**Volume**: 513.7 Å³/cell
**Energy above the lowest structure with this stoichiometry**: 0.38 eV per formula unit

***

No. 8
Below is a relaxed InHg2I4 crystal, with properties calculated at the GGA-PBE level.

Cell lengths 6.4982, 6.4982, 14.3719 Å; angles 90.00, 90.00, 90.00 degrees
Closest atoms and distances in Å follow each position.
Space group I4/mmm (No. 139)
One atom of each set of equivalent atoms:
In 0.0000 0.0000 0.0000 x2  6 I 3.10-3.25
Hg 0.0000 0.0000 0.4056 x4  1 Hg 2.71, 1 I 2.73
I 0.0000 0.0000 0.2156 x4  1 Hg 2.73
I 0.0000 0.5000 0.0000 x4  2 In 3.25, 4 Hg 3.52

Summary:
**Raw formation energy**: -0.2237 eV per atom
**Total DFT energy (no corrections)**: -0.11664 Ry/atom
**Total magnetization**: 0.00 μB per formula unit
**Volume**: 606.9 Å³/cell

***

No. 9
Below is a relaxed In2HgI3 crystal, with properties calculated at the GGA-PBE level.

Cell lengths 8.5131, 13.3257, 7.9972 Å; angles 90.00, 90.00, 90.00 degrees
Closest atoms and distances in Å follow each position.
Space group Ibam (No. 72)
One atom of each set of equivalent atoms:
In 0.2350 0.0898 0.0000 x8  1 I 2.87, 2 Hg 3.07
Hg 0.0000 0.0000 0.2500 x4  4 In 3.07
I 0.0000 0.5000 0.2500 x4  4 In 3.24
I 0.1538 0.2066 0.5000 x8  1 In 2.87

Summary:
**Raw formation energy**: -0.3236 eV per atom
**Total DFT energy (no corrections)**: -0.15153 Ry/atom
**Total magnetization**: 0.00 μB per formula unit
**Volume**: 907.2 Å³/cell

***

No. 10
Below is a relaxed In2Hg2I5 crystal, with properties calculated at the GGA-PBE level.

Cell lengths 16.2415, 6.0171, 8.9068 Å; angles 90.00, 118.51, 90.00 degrees
Closest atoms and distances in Å follow each position.
Space group C2/m (No. 12)
One atom of each set of equivalent atoms:
In 0.1137 0.0000 0.2791 x4  7 I 3.41-3.78
Hg 0.1270 0.5000 0.8406 x4  4 I 2.97-3.03
I 0.0000 0.5000 0.0000 x2  2 Hg 3.01
I 0.1375 0.0000 0.8851 x4  2 Hg 3.03
I 0.1475 0.5000 0.5266 x4  1 Hg 2.97

Summary:
**Raw formation energy**: -0.2864 eV per atom
**Total DFT energy (no corrections)**: -0.13400 Ry/atom
**Total magnetization**: 0.00 μB per formula unit
**Volume**: 764.9 Å³/cell

***

No. 11
Below is a relaxed In2Hg3I2 crystal, with properties calculated at the GGA-PBE level.

Cell lengths 4.6874, 23.6834, 4.6845 Å; angles 90.00, 90.00, 90.00 degrees
Closest atoms and distances in Å follow each position.
Space group Cmmm (No. 65)
One atom of each set of equivalent atoms:
In 0.0000 0.1974 0.0000 x4  1 Hg 3.10, 4 I 3.40, 2 In 3.42
Hg 0.0000 0.0665 0.0000 x4  1 In 3.10, 1 Hg 3.15
Hg 0.0000 0.5000 0.5000 x2  8 Hg 3.67, 2 I 3.93
I 0.0000 0.3339 0.5000 x4  4 In 3.40

Summary:
**Raw formation energy**: -0.2300 eV per atom
**Total DFT energy (no corrections)**: -0.11647 Ry/atom
**Total magnetization**: 0.00 μB per formula unit
**Volume**: 520.0 Å³/cell

***

No. 12
Below is a relaxed In6Hg8I crystal, with properties calculated at the GGA-PBE level.

Cell lengths 6.3487, 6.9011, 10.4776 Å; angles 109.04, 94.17, 93.57 degrees
Closest atoms and distances in Å follow each position.
Space group P-1 (No. 2)
One atom of each set of equivalent atoms:
In 0.1015 0.1043 0.3867 x2  7 Hg 3.09-3.37, 1 In 3.44, 1 I 3.44
In 0.2976 0.3546 0.8923 x2  6 Hg 3.07-3.31, 2 In 3.36-3.38
In 0.3319 0.8229 0.8551 x2  6 Hg 3.13-3.35, 1 In 3.38
Hg 0.0020 0.4416 0.6471 x2  4 In 3.09-3.37, 3 Hg 3.20-3.43
Hg 0.1748 0.1880 0.1172 x2  5 In 3.07-3.33, 2 Hg 3.25-3.26
Hg 0.2033 0.7274 0.1352 x2  5 In 3.10-3.35, 3 Hg 3.20-3.33
Hg 0.4004 0.0260 0.6300 x2  2 Hg 3.01-3.33, 5 In 3.08-3.34
I 0.5000 0.5000 0.5000 x1  2 In 3.44, 6 Hg 3.54-3.67

Summary:
**Raw formation energy**: -0.0200 eV per atom
**Total DFT energy (no corrections)**: -0.10140 Ry/atom
**Total magnetization**: 0.00 μB per formula unit
**Volume**: 431.0 Å³/cell

***

Which value of total magnetization does entry 3 give? 0.00 μB per formula unit